Entry 1:
A geometry-optimized ScFeRh2 structure, computed with PBE-GGA.

Values from the calculation:
- Crystal system: monoclinic
- Magnetization: 7.8 Bohr magnetons per cell
- D(E_F): 5.883 states/eV/cell

Unit cell a=9.556 b=3.092 c=4.350 alpha=90.00 beta=107.64 gamma=90.00
Space group Cm (No. 8)
One atom of each set of equivalent atoms:
1 Sc 0.000 0.000 0.000 [2 per cell]
2 Fe 0.241 0.000 0.646 [2 per cell]
3 Rh 0.008 0.500 0.517 [2 per cell]
4 Rh 0.247 0.500 0.157 [2 per cell]



Entry 2:
A geometry-optimized ScFeRh2 structure, computed with PBE-GGA.

Values from the calculation:
- Crystal system: trigonal
- Magnetization: 10.6 Bohr magnetons per cell
- D(E_F): 7.246 states/eV/cell

Unit cell a=2.9389 b=2.9389 c=24.7646 alpha=90.00 beta=90.00 gamma=120.00
Space group R-3m (No. 166, hexagonal axes)
One atom of each set of equivalent atoms:
1 Sc 0.0000 0.0000 0.0000 [3 per cell]
2 Fe 0.0000 0.0000 0.5000 [3 per cell]
3 Rh 0.0000 0.0000 0.2474 [6 per cell]



Entry 3:
A geometry-optimized Sc3FeRh structure, computed with PBE-GGA.

Values from the calculation:
- Crystal system: cubic
- Magnetization: 0.0 Bohr magnetons per cell
- D(E_F): 2.825 states/eV/cell
- Energy above the most stable polymorph in this dataset: 0 kJ/mol of formula units

Unit cell a=4.668 b=4.668 c=4.668 alpha=90.00 beta=90.00 gamma=90.00
Space group Pm-3m (No. 221)
One atom of each set of equivalent atoms:
1 Sc 0.000 0.000 0.500 [3 per cell]
2 Fe 0.000 0.000 0.000 [1 per cell]
3 Rh 0.500 0.500 0.500 [1 per cell]



Number 1: ΔE_f -0.380 eV/atom, calculated volume 122.5 Å³/cell, calculated density 8.31 g/cm³. Number 2: ΔE_f -0.186 eV/atom, calculated volume 185.2 Å³/cell, calculated density 8.25 g/cm³. Number 3: ΔE_f 0.054 eV/atom, calculated volume 101.7 Å³/cell, calculated density 4.79 g/cm³.